(1)
Entry from Alexandria: a relaxed structure of BaAc7Sn5 (PBE).

```
BaAc7Sn5
1.0
-0.896 5.196 4.535
-3.763 -2.793 7.789
7.188 1.141 5.446
Ac Sn Ba
7 5 1
Cartesian
4.658 3.101 8.032 Ac
0.597 2.829 7.541 Ac
-2.243 0.622 9.509 Ac
2.628 4.934 10.864 Ac
-0.906 3.665 11.620 Ac
0.545 1.025 4.266 Ac
2.004 0.599 10.374 Ac
3.579 0.610 2.760 Sn
-2.316 1.163 6.123 Sn
-1.882 -1.351 3.928 Sn
1.929 2.606 13.393 Sn
3.146 3.125 4.955 Sn
-0.887 5.182 4.553 Ba
```

Properties
SG: No. 44

---

(2)
Entry from Alexandria: a relaxed structure of YZnGaPd (PBE).

```
YZnGaPd
1.0
4.695 0.000 0.000
2.347 4.066 0.000
2.347 1.355 3.833
Y Zn Ga Pd
1 1 1 1
Cartesian
7.042 4.066 2.875 Y
4.695 2.711 1.917 Zn
2.347 1.355 0.958 Ga
0.000 0.000 0.000 Pd
```

Properties
SG: No. 216

---

(3)
Entry from Alexandria: a relaxed structure of ThNbNi2Ge2 (PBE).

```
ThNbNi2Ge2
1.0
4.183 0.000 0.000
-2.092 3.623 0.000
0.000 0.000 6.880
Nb Ni Th Ge
1 2 1 2
Cartesian
0.000 0.000 3.440 Nb
2.092 1.208 2.271 Ni
0.000 2.415 4.608 Ni
0.000 0.000 0.000 Th
0.000 2.415 1.949 Ge
2.092 1.208 4.931 Ge
```

Properties
SG: No. 164

---

We obtain total DFT energy (no corrections) values of -4.3320, -4.5649, -6.9963 eV per atom for the records listed above, in that order.